Entry 1:
The following is a PBE calculation of a relaxed Pm4TlZn3 crystal, from Alexandria.

extended XYZ file:
```
8
Lattice="-1.5127 0.8637 -3.2969 -0.4786 -4.5386 -0.9694 -10.9548 0.0773 5.0466" Properties=species:S:1:pos:R:3 pbc="T T T"
Zn -6.4571 -2.2255 2.3797
Pm -4.9087 -1.8099 -0.3305
Pm -7.8675 0.4820 1.6274
Zn -4.7696 0.0336 2.1972
Zn -10.8625 0.5031 3.0072
Tl -1.7384 -1.8322 -1.7910
Pm -1.7767 0.0125 0.8185
Pm -9.4213 -2.2046 3.7452
```

**Offset from the most stable computed form**: 46.9 meV per atom
**Space group**: Pmm2 (25)
**Calculated volume**: 210 Å³ per cell
**Formation enthalpy at 0 K**: -0.27 eV per atom

Entry 2:
The following is a PBE calculation of a relaxed Pm3Tl2Zn2 crystal, from Alexandria.

extended XYZ file:
```
7
Lattice="-0.6946 2.0686 -3.9139 -3.5441 -0.9281 0.1385 -2.5909 10.4006 3.3915" Properties=species:S:1:pos:R:3 pbc="T T T"
Zn -3.7222 6.8459 -0.8517
Pm -1.4370 5.1676 -2.1443
Pm -1.8486 7.3016 1.6219
Tl -2.4897 2.1163 -1.0049
Tl -4.3400 9.4248 0.6209
Zn -3.1075 4.6952 0.4678
Pm 0.0000 0.0000 0.0000
```

**Space group**: Cmmm (65)
**Calculated volume**: 181 Å³ per cell
**Formation enthalpy at 0 K**: -0.36 eV per atom

Entry 3:
The following is a PBE calculation of a relaxed Pm5Tl4Zn crystal, from Alexandria.

extended XYZ file:
```
10
Lattice="3.7247 0.0000 0.0000 0.0000 3.7247 0.0000 0.0000 0.0000 20.3812" Properties=species:S:1:pos:R:3 pbc="T T T"
Tl 0.0000 0.0000 16.5395
Pm 1.8623 1.8623 14.4160
Tl 0.0000 0.0000 3.8416
Tl 0.0000 0.0000 12.3128
Pm 1.8623 1.8623 5.9652
Pm 1.8623 1.8623 1.7501
Tl 0.0000 0.0000 8.0684
Pm 1.8623 1.8623 10.1906
Zn 0.0000 0.0000 0.0000
Pm 1.8623 1.8623 18.6311
```

**Space group**: P4/mmm (123)
**Calculated volume**: 283 Å³ per cell
**Formation enthalpy at 0 K**: -0.38 eV per atom

Entry 4:
The following is a PBE calculation of a relaxed PmZrTl2 crystal, from Alexandria.

extended XYZ file:
```
4
Lattice="3.4032 0.0000 0.0000 0.0000 3.4032 0.0000 0.0000 0.0000 8.8351" Properties=species:S:1:pos:R:3 pbc="T T T"
Tl 0.0000 0.0000 6.7584
Tl 0.0000 0.0000 2.0767
Pm 1.7016 1.7016 4.4176
Zr 1.7016 1.7016 0.0000
```

**Space group**: P4/mmm (123)
**Calculated volume**: 102 Å³ per cell
**Formation enthalpy at 0 K**: -0.18 eV per atom